1.
LiY4Rh PBE relaxed; V = 30.6 Å³/atom; ΔH_f (0 K) = -0.022 eV per atom; energy above the most stable polymorph in this dataset = 0 meV/atom; electronic total energy = -70.5 eV per cell
1.0
-6.436 4.650 -0.662
0.124 -7.212 3.385
4.651 4.239 4.887
Y Li Rh
8 2 2
Direct
0.240 0.002 0.238
0.261 0.570 0.308
0.752 0.013 0.262
0.261 0.953 0.692
0.763 0.002 0.762
0.752 0.490 0.738
0.320 0.511 0.808
0.703 0.511 0.192
0.933 0.433 0.500
0.183 0.183 0.000
0.791 0.791 0.000
0.541 0.041 0.500



2.
KTcPb2 PBE relaxed; V = 30.6 Å³/atom; ΔH_f (0 K) = 0.526 eV per atom; energy above the most stable polymorph in this dataset = 276 meV/atom; electronic total energy = -16.8 eV per cell
1.0
-2.084 -3.150 0.331
0.903 -0.971 -3.551
6.822 -4.210 2.887
Tc Pb K
1 2 1
Direct
0.000 0.000 0.381
0.500 0.500 0.330
0.000 0.000 0.052
0.500 0.500 0.737



3.
PmPuInRu PBE relaxed; V = 24.0 Å³/atom; ΔH_f (0 K) = -0.237 eV per atom; energy above the most stable polymorph in this dataset = 0 meV/atom; electronic total energy = -32.0 eV per cell
1.0
-1.476 -2.720 -1.317
2.451 -0.220 -2.292
4.459 -4.958 5.245
In Ru Pm Pu
1 1 1 1
Direct
0.000 0.000 0.078
0.000 0.000 0.560
0.500 0.500 0.780
0.500 0.500 0.367



4.
AcLaCeGe PBE relaxed; V = 30.0 Å³/atom; ΔH_f (0 K) = -0.021 eV per atom; electronic total energy = -19.7 eV per cell
1.0
5.536 0.000 0.000
2.768 4.795 0.000
2.768 1.598 4.520
Ac Ge La Ce
1 1 1 1
Direct
0.000 0.000 0.000
0.500 0.500 0.500
0.750 0.750 0.750
0.250 0.250 0.250